MnSn5I12 after structural relaxation, computed with GGA-PBE.

Formation energy (no corrections) = -494 meV/atom
E_tot = -3.149 eV/atom
Volume = 45.015 Å³ per atom
Space group = C2/m, No. 12

abc: 7.814 7.814 15.342
angles: 90.00 90.00 120.13
Sites, in units of the cell vectors:
1 Mn 0.000 0.000 0.000
2 Sn 0.167 0.833 0.500
3 Sn 0.333 0.667 0.000
4 Sn 0.500 0.500 0.500
5 Sn 0.667 0.333 0.000
6 Sn 0.833 0.167 0.500
7 I 0.000 0.306 0.888
8 I 0.000 0.694 0.112
9 I 0.166 0.166 0.622
10 I 0.167 0.500 0.377
11 I 0.306 0.000 0.888
12 I 0.306 0.306 0.112
13 I 0.500 0.167 0.377
14 I 0.500 0.833 0.623
15 I 0.694 0.000 0.112
16 I 0.694 0.694 0.888
17 I 0.833 0.500 0.623
18 I 0.834 0.834 0.378